1.
Density functional theory data (PBE) for a geometry-optimized KNaSnRh2 structure.

The structure in extended XYZ format:
```
5
Lattice="4.894 0.000 0.000 0.000 4.894 0.000 0.000 0.000 4.628" Properties=species:S:1:pos:R:3 pbc="T T T"
K 0.000 0.000 0.000
Na 0.000 0.000 2.314
Sn 2.447 2.447 0.000
Rh 0.000 2.447 2.314
Rh 2.447 0.000 2.314
```

Summary:
Calculated formation energy: 1.0132 eV/atom
Size of the total moment: 0.00 μB/f.u.
Space-group type: P4/mmm, No. 123

=====

2.
Density functional theory data (PBE) for a geometry-optimized TaTi2RePt structure.

The structure in extended XYZ format:
```
5
Lattice="4.592 0.000 0.000 0.000 4.592 0.000 0.000 0.000 4.892" Properties=species:S:1:pos:R:3 pbc="T T T"
Ta 0.000 0.000 0.000
Ti 0.000 2.296 2.446
Ti 2.296 0.000 2.446
Re 2.296 2.296 0.000
Pt 2.296 2.296 2.446
```

Summary:
Calculated formation energy: 1.1038 eV/atom
Size of the total moment: 0.00 μB/f.u.
Space-group type: P4/mmm, No. 123